No. 1
This record from Alexandria describes crystalline K2LaTl2 at its relaxed geometry. The functional is PBE.

```
data_K2LaTl2
_chemical_formula_sum 'K4 La2 Tl4'
_cell_length_a 9.9452
_cell_length_b 9.9452
_cell_length_c 3.6330
_cell_angle_alpha 90.00
_cell_angle_beta 90.00
_cell_angle_gamma 90.00
_symmetry_space_group_name_H-M 'P 4/m b m'
_symmetry_Int_Tables_number 127
_symmetry_space_group_name_Hall '-P 4 2ab'
loop_
_atom_site_label
_atom_site_fract_x
_atom_site_fract_y
_atom_site_fract_z
_atom_site_occupancy
K1 0.1194 0.3806 0.0000 1
La1 0.0000 0.0000 0.0000 1
Tl1 0.1834 0.6834 0.5000 1
```

Computed properties:
Its density of states at the Fermi level is 2.93 states/eV/f.u. Its relative energy among the computed polymorphs is 25.6 kJ/mol of formula units. The energy relative to the elements is 0.106 eV/atom. Its energy is -2.265 eV per atom.

***

No. 2
This record from Alexandria describes crystalline MgMn2Sb at its relaxed geometry. The functional is PBE.

```
data_MgMn2Sb
_chemical_formula_sum 'Mg2 Mn4 Sb2'
_cell_length_a 4.1066
_cell_length_b 4.1066
_cell_length_c 8.1068
_cell_angle_alpha 90.00
_cell_angle_beta 90.00
_cell_angle_gamma 90.00
_symmetry_space_group_name_H-M 'I 4/m m m'
_symmetry_Int_Tables_number 139
_symmetry_space_group_name_Hall '-I 4 2'
loop_
_atom_site_label
_atom_site_fract_x
_atom_site_fract_y
_atom_site_fract_z
_atom_site_occupancy
Mg1 0.0000 0.0000 0.0000 1
Mn1 0.0000 0.5000 0.2500 1
Sb1 0.0000 0.0000 0.5000 1
```

Computed properties:
The uncorrected formation energy comes out at 0.13 eV per atom. Its density of states at the Fermi level is 3.40 states/eV/f.u. Its energy is -5.887 eV per atom.

***

No. 3
This record from Alexandria describes crystalline TbPmTcPd at its relaxed geometry. The functional is PBE.

```
data_TbPmTcPd
_chemical_formula_sum 'Tb4 Pm4 Tc4 Pd4'
_cell_length_a 7.0081
_cell_length_b 7.0081
_cell_length_c 7.0081
_cell_angle_alpha 90.00
_cell_angle_beta 90.00
_cell_angle_gamma 90.00
_symmetry_space_group_name_H-M 'F -4 3 m'
_symmetry_Int_Tables_number 216
_symmetry_space_group_name_Hall 'F -4 2 3'
loop_
_atom_site_label
_atom_site_fract_x
_atom_site_fract_y
_atom_site_fract_z
_atom_site_occupancy
Tb1 0.0000 0.0000 0.0000 1
Pm1 0.0000 0.0000 0.5000 1
Tc1 0.2500 0.2500 0.7500 1
Pd1 0.2500 0.2500 0.2500 1
```

Computed properties:
Its density of states at the Fermi level is 2.94 states/eV/f.u. The energy relative to the elements is -0.275 eV/atom. Its energy is -6.510 eV per atom.

***

No. 4
This record from Alexandria describes crystalline Tb3PmHo2Bi6 at its relaxed geometry. The functional is PBE.

```
data_Tb3PmHo2Bi6
_chemical_formula_sum 'Tb6 Pm2 Ho4 Bi12'
_cell_length_a 19.5936
_cell_length_b 4.4969
_cell_length_c 8.9932
_cell_angle_alpha 90.00
_cell_angle_beta 103.21
_cell_angle_gamma 90.00
_symmetry_space_group_name_H-M 'C 1 2/m 1'
_symmetry_Int_Tables_number 12
loop_
_symmetry_equiv_pos_as_xyz
'x,y,z'
'-x,-y,-z'
'-x,y,-z'
'x,-y,z'
'x+1/2,y+1/2,z'
'-x+1/2,-y+1/2,-z'
'-x+1/2,y+1/2,-z'
'x+1/2,-y+1/2,z'
loop_
_atom_site_label
_atom_site_fract_x
_atom_site_fract_y
_atom_site_fract_z
_atom_site_occupancy
Tb1 0.0000 0.0000 0.0000 1
Tb2 0.1656 0.5000 0.3323 1
Pm1 0.0000 0.0000 0.5000 1
Ho1 0.1672 0.5000 0.8333 1
Bi1 0.0011 0.5000 0.7546 1
Bi2 0.1671 0.0000 0.0816 1
Bi3 0.1685 0.0000 0.5854 1
```

Computed properties:
Its density of states at the Fermi level is 2.01 states/eV/f.u. The energy relative to the elements is -0.874 eV/atom. Its energy is -5.130 eV per atom.

***

No. 5
This record from Alexandria describes crystalline KMgBr2 at its relaxed geometry. The functional is PBE.

```
data_KMgBr2
_chemical_formula_sum 'K1 Mg1 Br2'
_cell_length_a 4.4621
_cell_length_b 4.4621
_cell_length_c 6.8010
_cell_angle_alpha 90.00
_cell_angle_beta 90.00
_cell_angle_gamma 90.00
_symmetry_space_group_name_H-M 'P 4 m m'
_symmetry_Int_Tables_number 99
loop_
_symmetry_equiv_pos_as_xyz
'x,y,z'
'-y,x,z'
'-x,-y,z'
'y,-x,z'
'-x,y,z'
'y,x,z'
'x,-y,z'
'-y,-x,z'
loop_
_atom_site_label
_atom_site_fract_x
_atom_site_fract_y
_atom_site_fract_z
_atom_site_occupancy
K1 0.0000 0.0000 0.0000 1
Mg1 0.5000 0.5000 0.5028 1
Br1 0.0000 0.0000 0.4820 1
Br2 0.5000 0.5000 0.8996 1
```

Computed properties:
The uncorrected formation energy comes out at -1.12 eV per atom. Its density of states at the Fermi level is 1.76 states/eV/f.u. Its relative energy among the computed polymorphs is 9.9 kJ/mol of formula units. Its energy is -2.630 eV per atom.

***

No. 6
This record from Alexandria describes crystalline ZrSnPO2 at its relaxed geometry. The functional is PBE.

```
data_ZrSnPO2
_chemical_formula_sum 'Zr1 Sn1 P1 O2'
_cell_length_a 3.9604
_cell_length_b 3.9604
_cell_length_c 5.3115
_cell_angle_alpha 90.00
_cell_angle_beta 90.00
_cell_angle_gamma 90.00
_symmetry_space_group_name_H-M 'P 4/m m m'
_symmetry_Int_Tables_number 123
_symmetry_space_group_name_Hall '-P 4 2'
loop_
_atom_site_label
_atom_site_fract_x
_atom_site_fract_y
_atom_site_fract_z
_atom_site_occupancy
Zr1 0.0000 0.0000 0.0000 1
Sn1 0.5000 0.5000 0.5000 1
P1 0.5000 0.5000 0.0000 1
O1 0.0000 0.5000 0.5000 1
```

Computed properties:
The uncorrected formation energy comes out at -0.74 eV per atom. Its density of states at the Fermi level is 2.62 states/eV/f.u. Its relative energy among the computed polymorphs is 363.5 kJ/mol of formula units. Its energy is -6.311 eV per atom.